# 1
Here is an optimized crystal structure of Lu2TiO5 from the Alexandria database. Energies are from GGA-PBEsol.

Calculated values
**Crystal system**: orthorhombic
**Relative energy among the computed polymorphs**: 0 meV/atom
**Symmetry**: Pnma, No. 62

```
Lu2TiO5
1.0
3.559 0.000 0.000
0.000 7.163 0.000
0.000 0.000 14.957
O Lu Ti
20 8 4
Direct
0.250 0.424 0.047
0.750 0.087 0.820
0.750 0.651 0.503
0.250 0.849 0.003
0.750 0.076 0.547
0.750 0.587 0.680
0.250 0.913 0.180
0.250 0.413 0.320
0.250 0.788 0.829
0.250 0.389 0.851
0.750 0.111 0.351
0.750 0.611 0.149
0.250 0.288 0.671
0.750 0.712 0.329
0.250 0.924 0.453
0.750 0.151 0.997
0.250 0.349 0.497
0.750 0.576 0.953
0.250 0.889 0.649
0.750 0.212 0.171
0.250 0.086 0.909
0.750 0.358 0.767
0.750 0.414 0.409
0.250 0.642 0.233
0.250 0.142 0.267
0.250 0.586 0.591
0.750 0.858 0.733
0.750 0.914 0.091
0.750 0.374 0.073
0.250 0.626 0.927
0.250 0.126 0.573
0.750 0.874 0.427
```

# 2
Here is an optimized crystal structure of Lu2Ti2O7 from the Alexandria database. Energies are from GGA-PBEsol.

Calculated values
**Crystal system**: cubic
**Symmetry**: Fd-3m, No. 227

```
Lu2Ti2O7
1.0
-3.277 -5.000 -3.671
3.070 -2.774 -5.665
2.370 -6.600 0.172
O Lu Ti
14 4 4
Direct
0.040 0.460 0.040
0.790 0.210 0.790
0.210 0.790 0.210
0.500 0.500 0.500
0.210 0.790 0.790
0.460 0.460 0.040
0.460 0.040 0.040
0.210 0.210 0.790
0.750 0.750 0.750
0.040 0.460 0.460
0.040 0.040 0.460
0.790 0.790 0.210
0.790 0.210 0.210
0.460 0.040 0.460
0.625 0.625 0.125
0.625 0.625 0.625
0.125 0.625 0.625
0.625 0.125 0.625
0.125 0.125 0.625
0.125 0.625 0.125
0.125 0.125 0.125
0.625 0.125 0.125
```

# 3
Here is an optimized crystal structure of LuTlW2O8 from the Alexandria database. Energies are from GGA-PBEsol.

Calculated values
**Crystal system**: monoclinic
**Symmetry**: C2/c, No. 15

```
LuTlW2O8
1.0
-2.122 3.581 6.115
-2.045 -4.049 5.864
6.750 -3.063 -0.066
W O Lu Tl
4 16 2 2
Direct
0.228 0.304 0.701
0.728 0.299 0.696
0.272 0.701 0.304
0.772 0.696 0.299
0.035 0.631 0.590
0.117 0.942 0.374
0.308 0.039 0.784
0.946 0.380 0.763
0.446 0.237 0.620
0.535 0.410 0.369
0.617 0.626 0.058
0.383 0.374 0.942
0.554 0.763 0.380
0.192 0.784 0.039
0.883 0.058 0.626
0.965 0.369 0.410
0.692 0.961 0.216
0.465 0.590 0.631
0.808 0.216 0.961
0.054 0.620 0.237
0.250 0.773 0.773
0.750 0.227 0.227
0.750 0.792 0.792
0.250 0.208 0.208
```

# 4
Here is an optimized crystal structure of Lu6UO12 from the Alexandria database. Energies are from GGA-PBEsol.

Calculated values
**Crystal system**: trigonal
**Symmetry**: R-3, No. 148

```
Lu6UO12
1.0
6.348 -0.002 -0.002
-1.016 6.266 -0.002
-1.016 -1.194 6.151
O Lu U
12 6 1
Direct
0.315 0.084 0.950
0.178 0.424 0.585
0.424 0.585 0.178
0.950 0.315 0.084
0.685 0.916 0.050
0.415 0.822 0.576
0.576 0.415 0.822
0.822 0.576 0.415
0.585 0.178 0.424
0.084 0.950 0.315
0.050 0.685 0.916
0.916 0.050 0.685
0.146 0.610 0.326
0.390 0.674 0.854
0.854 0.390 0.674
0.610 0.326 0.146
0.674 0.854 0.390
0.326 0.146 0.610
0.000 0.000 0.000
```

# 5
Here is an optimized crystal structure of Lu2V2O7 from the Alexandria database. Energies are from GGA-PBEsol.

Calculated values
**Crystal system**: cubic
**Symmetry**: Fd-3m, No. 227

```
Lu2V2O7
1.0
6.938 0.000 0.000
3.469 6.009 0.000
3.469 2.003 5.665
V O Lu
4 14 4
Direct
0.625 0.625 0.625
0.625 0.625 0.125
0.125 0.625 0.625
0.625 0.125 0.625
0.957 0.957 0.543
0.543 0.957 0.543
0.293 0.707 0.293
0.707 0.707 0.293
0.957 0.543 0.543
0.707 0.293 0.293
0.293 0.293 0.707
0.957 0.543 0.957
0.000 0.000 0.000
0.250 0.250 0.250
0.293 0.707 0.707
0.543 0.543 0.957
0.707 0.293 0.707
0.543 0.957 0.957
0.625 0.125 0.125
0.125 0.125 0.625
0.125 0.125 0.125
0.125 0.625 0.125
```

# 6
Here is an optimized crystal structure of Lu2WO6 from the Alexandria database. Energies are from GGA-PBEsol.

Calculated values
**Crystal system**: monoclinic
**Symmetry**: P2/c, No. 13

```
Lu2WO6
1.0
-4.402 -1.566 2.309
3.841 -5.124 3.848
0.110 9.084 6.373
W O Lu
4 24 8
Direct
0.744 0.278 0.386
0.256 0.278 0.886
0.256 0.722 0.614
0.744 0.722 0.114
0.463 0.791 0.776
0.537 0.791 0.276
0.643 0.515 0.385
0.846 0.630 0.948
0.040 0.060 0.897
0.538 0.151 0.930
0.960 0.940 0.103
0.462 0.849 0.070
0.537 0.209 0.224
0.978 0.713 0.731
0.022 0.713 0.231
0.154 0.630 0.448
0.643 0.485 0.115
0.463 0.209 0.724
0.538 0.849 0.570
0.462 0.151 0.430
0.022 0.287 0.269
0.846 0.370 0.552
0.357 0.515 0.885
0.154 0.370 0.052
0.960 0.060 0.397
0.978 0.287 0.769
0.040 0.940 0.603
0.357 0.485 0.615
0.260 0.000 0.250
0.180 0.796 0.921
0.180 0.204 0.579
0.740 0.000 0.750
0.820 0.796 0.421
0.318 0.500 0.250
0.682 0.500 0.750
0.820 0.204 0.079
```

# 7
Here is an optimized crystal structure of Lu2WO6 from the Alexandria database. Energies are from GGA-PBEsol.

Calculated values
**Crystal system**: monoclinic
**Symmetry**: C2/c, No. 15

```
Lu2WO6
1.0
0.073 -1.244 -5.070
-8.631 -3.502 -1.359
-5.666 6.501 -3.772
O W Lu
24 4 8
Direct
0.579 0.894 0.924
0.425 0.851 0.313
0.970 0.462 0.381
0.363 0.223 0.303
0.271 0.964 0.527
0.863 0.303 0.223
0.771 0.527 0.964
0.729 0.036 0.473
0.137 0.697 0.777
0.079 0.924 0.894
0.637 0.777 0.697
0.921 0.076 0.106
0.075 0.687 0.149
0.575 0.149 0.687
0.914 0.815 0.378
0.421 0.106 0.076
0.086 0.185 0.622
0.470 0.381 0.462
0.530 0.619 0.538
0.925 0.313 0.851
0.030 0.538 0.619
0.414 0.378 0.815
0.586 0.622 0.185
0.229 0.473 0.036
0.916 0.501 0.184
0.084 0.499 0.816
0.584 0.816 0.499
0.416 0.184 0.501
0.750 0.893 0.107
0.250 0.625 0.375
0.882 0.941 0.717
0.750 0.375 0.625
0.382 0.717 0.941
0.250 0.107 0.893
0.618 0.283 0.059
0.118 0.059 0.283
```

# 8
Here is an optimized crystal structure of Lu2W3O12 from the Alexandria database. Energies are from GGA-PBEsol.

Calculated values
**Crystal system**: monoclinic
**Symmetry**: C2/c, No. 15

```
Lu2W3O12
1.0
-6.036 -2.739 -0.488
3.406 -0.523 -5.683
5.176 -7.632 6.151
O Lu W
24 4 6
Direct
0.789 0.863 0.278
0.341 0.925 0.899
0.920 0.825 0.043
0.863 0.789 0.778
0.470 0.093 0.293
0.604 0.529 0.423
0.825 0.920 0.543
0.774 0.331 0.938
0.530 0.907 0.707
0.669 0.226 0.562
0.396 0.471 0.577
0.471 0.396 0.077
0.175 0.080 0.457
0.331 0.774 0.438
0.226 0.669 0.062
0.080 0.175 0.957
0.907 0.530 0.207
0.075 0.659 0.601
0.659 0.075 0.101
0.093 0.470 0.793
0.529 0.604 0.923
0.137 0.211 0.222
0.925 0.341 0.399
0.211 0.137 0.722
0.043 0.290 0.591
0.710 0.957 0.909
0.957 0.710 0.409
0.290 0.043 0.091
0.759 0.539 0.055
0.133 0.867 0.750
0.461 0.241 0.445
0.241 0.461 0.945
0.867 0.133 0.250
0.539 0.759 0.555
```

# 9
Here is an optimized crystal structure of Lu2WO6 from the Alexandria database. Energies are from GGA-PBEsol.

Calculated values
**Crystal system**: orthorhombic
**Symmetry**: P2_12_12_1, No. 19

```
Lu2WO6
1.0
-3.434 3.588 -1.137
-3.318 -0.577 8.200
6.148 6.824 2.967
Lu O W
8 24 4
Direct
0.016 0.397 0.033
0.516 0.103 0.967
0.543 0.220 0.374
0.957 0.780 0.874
0.984 0.897 0.467
0.457 0.720 0.126
0.484 0.603 0.533
0.043 0.280 0.626
0.753 0.409 0.497
0.698 0.643 0.733
0.409 0.340 0.969
0.319 0.455 0.697
0.181 0.545 0.197
0.761 0.884 0.068
0.239 0.384 0.432
0.739 0.116 0.568
0.819 0.045 0.303
0.827 0.362 0.818
0.247 0.909 0.003
0.091 0.660 0.469
0.591 0.840 0.531
0.681 0.955 0.803
0.327 0.138 0.182
0.673 0.638 0.318
0.302 0.143 0.767
0.747 0.591 0.997
0.909 0.160 0.031
0.261 0.616 0.932
0.802 0.357 0.233
0.198 0.857 0.267
0.253 0.091 0.503
0.173 0.862 0.682
0.962 0.505 0.346
0.538 0.495 0.846
0.038 0.005 0.154
0.462 0.995 0.654
```

# 10
Here is an optimized crystal structure of YLuO3 from the Alexandria database. Energies are from GGA-PBEsol.

Calculated values
**Crystal system**: hexagonal
**Symmetry**: P6_3/mmc, No. 194

```
YLuO3
1.0
-2.054 -0.964 -2.822
0.917 -2.458 2.496
-10.326 2.806 6.556
Y O Lu
2 6 2
Direct
0.000 0.000 0.000
0.000 0.000 0.500
0.000 0.000 0.750
0.333 0.667 0.078
0.333 0.667 0.422
0.667 0.333 0.578
0.000 0.000 0.250
0.667 0.333 0.922
0.333 0.667 0.250
0.667 0.333 0.750
```

# 11
Here is an optimized crystal structure of YLuO3 from the Alexandria database. Energies are from GGA-PBEsol.

Calculated values
**Crystal system**: orthorhombic
**Symmetry**: Pnma, No. 62

```
YLuO3
1.0
-3.707 3.450 -2.225
-3.327 -0.527 4.727
3.838 6.322 3.406
O Lu Y
12 4 4
Direct
0.313 0.691 0.923
0.644 0.073 0.750
0.313 0.691 0.577
0.144 0.427 0.250
0.187 0.191 0.577
0.356 0.927 0.250
0.187 0.191 0.923
0.856 0.573 0.750
0.813 0.809 0.423
0.813 0.809 0.077
0.687 0.309 0.077
0.687 0.309 0.423
0.000 0.500 0.000
0.000 0.500 0.500
0.500 0.000 0.000
0.500 0.000 0.500
0.021 0.942 0.750
0.979 0.058 0.250
0.479 0.442 0.750
0.521 0.558 0.250
```

# 12
Here is an optimized crystal structure of Lu4Zr3O12 from the Alexandria database. Energies are from GGA-PBEsol.

Calculated values
**Crystal system**: triclinic
**Symmetry**: P-1, No. 2

```
Lu4Zr3O12
1.0
-2.857 2.529 4.900
-0.001 -5.977 1.791
5.990 1.544 1.430
O Zr Lu
12 3 4
Direct
0.418 0.580 0.178
0.682 0.929 0.060
0.038 0.676 0.898
0.416 0.815 0.568
0.318 0.071 0.940
0.582 0.420 0.822
0.175 0.429 0.575
0.584 0.185 0.432
0.962 0.324 0.102
0.825 0.571 0.425
0.080 0.924 0.314
0.920 0.076 0.686
0.000 0.000 0.000
0.149 0.607 0.323
0.851 0.393 0.677
0.692 0.864 0.389
0.611 0.303 0.136
0.308 0.136 0.611
0.389 0.697 0.864
```

| no. | energy (eV for the cell shown) |
| --- | --- |
| 1 | -289.9 |
| 2 | -201.0 |
| 3 | -211.5 |
| 4 | -174.3 |
| 5 | -197.8 |
| 6 | -333.4 |
| 7 | -332.2 |
| 8 | -317.9 |
| 9 | -332.3 |
| 10 | -91.1 |
| 11 | -182.5 |
| 12 | -179.2 |